This record from the Alexandria database describes K2Rb2OsO6 after structural relaxation. The functional is PBE.

It has space group C2/m (No. 12), with a = 6.633 Å, b = 10.575 Å, c = 6.590 Å, α = 90.00°, β = 109.29° and γ = 90.00°. The asymmetric unit holds K at (0.000, 0.156, 0.000), Rb at (0.000, 0.323, 0.500), Os at (0.000, 0.500, 0.000), O at (0.171, 0.500, 0.820) and O at (0.176, 0.374, 0.173).

For the total magnetic moment, the calculation gives 0.31 Bohr magnetons per cell. The value obtained for the total energy is -5.473 eV/atom.